Record 1
A crystal of Tb2Fe17H3 relaxed with PBEsol, computed with meta-GGA SCAN.

abc: 7.978 8.308 8.308
angles: 120.00 90.00 90.00
Site moments in Bohr magnetons follow the coordinates.
Positions (direct):
Fe 0.515 0.333 0.167  2.52
Fe 0.015 0.167 0.833  2.52
Fe 0.250 0.949 0.328  2.44
Fe 0.750 0.621 0.672  2.44
Fe 0.500 0.500 0.000  2.41
Fe 0.750 0.051 0.379  2.44
H 0.250 0.165 0.835  -0.03
Fe 0.393 0.667 0.333  2.72
Fe 0.000 0.500 0.000  2.41
Fe 0.607 0.333 0.667  2.72
Tb 0.250 0.000 0.000  -0.56
Fe 0.485 0.167 0.333  2.52
Fe 0.750 0.328 0.949  2.44
H 0.750 0.835 0.165  -0.03
Fe 0.015 0.167 0.333  2.52
Fe 0.750 0.621 0.949  2.44
Fe 0.985 0.833 0.167  2.52
Fe 0.250 0.379 0.051  2.44
Fe 0.515 0.833 0.667  2.52
Fe 0.107 0.667 0.333  2.72
Fe 0.893 0.333 0.667  2.72
Fe 0.250 0.672 0.621  2.44
Tb 0.750 0.667 0.333  -0.63
Fe 0.015 0.667 0.833  2.52
Fe 0.485 0.167 0.833  2.52
Fe 0.515 0.833 0.167  2.52
Fe 0.750 0.328 0.379  2.44
H 0.250 0.670 0.835  -0.03
Fe 0.985 0.833 0.667  2.52
H 0.250 0.165 0.330  -0.03
Fe 0.250 0.379 0.328  2.44
Tb 0.250 0.333 0.667  -0.63
H 0.750 0.835 0.670  -0.03
H 0.750 0.330 0.165  -0.03
Fe 0.485 0.667 0.833  2.52
Fe 0.000 0.000 0.500  2.41
Fe 0.750 0.051 0.672  2.44
Tb 0.750 0.000 0.000  -0.56
Fe 0.000 0.500 0.500  2.41
Fe 0.250 0.949 0.621  2.44
Fe 0.500 0.500 0.500  2.41
Fe 0.500 0.000 0.500  2.41
Fe 0.985 0.333 0.167  2.52
Fe 0.250 0.672 0.051  2.44

Computed properties:
Space group: P6_3/mmc, No. 194
Calculated total energy (eV for the cell shown): -825.49
N(E_F) (states/eV/cell): 25.907


Record 2
A crystal of Fe2TcH2 relaxed with PBEsol, computed with meta-GGA SCAN.

abc: 3.120 3.120 4.564
angles: 109.99 109.99 90.00
Site moments in Bohr magnetons follow the coordinates.
Positions (direct):
H 0.750 0.250 0.500  -0.03
Tc 0.000 0.000 0.000  -0.18
Fe 0.336 0.336 0.672  2.01
H 0.250 0.750 0.500  -0.03
Fe 0.664 0.664 0.328  2.01

Computed properties:
Space group: I4/mmm, No. 139
Calculated total energy (eV for the cell shown): -76.76
N(E_F) (states/eV/cell): 4.010


Record 3
A crystal of Fe3TeH relaxed with PBEsol, computed with meta-GGA SCAN.

abc: 3.674 3.674 3.674
angles: 90.00 90.00 90.00
Site moments in Bohr magnetons follow the coordinates.
Positions (direct):
Te 0.500 0.500 0.500  -0.02
Fe 0.000 0.500 0.000  0.31
H 0.000 0.000 0.000  -0.01
Fe 0.000 0.000 0.500  0.31
Fe 0.500 0.000 0.000  0.31

Computed properties:
Space group: Pm-3m, No. 221
Calculated total energy (eV for the cell shown): -92.89
N(E_F) (states/eV/cell): 3.351


Record 4
A crystal of Ti2FeH2 relaxed with PBEsol, computed with meta-GGA SCAN.

abc: 2.884 2.884 5.855
angles: 104.26 104.26 90.00
Positions (direct):
Ti 0.636 0.636 0.272
Fe 0.000 0.000 0.000
H 0.750 0.250 0.500
Ti 0.364 0.364 0.728
H 0.250 0.750 0.500

Computed properties:
Space group: I4/mmm, No. 139
Calculated total energy (eV for the cell shown): -59.22
N(E_F) (states/eV/cell): 1.149


Record 5
A crystal of TiFeH relaxed with PBEsol, computed with meta-GGA SCAN.

abc: 2.865 4.213 4.496
angles: 90.00 90.00 90.00
Positions (direct):
H 0.000 0.000 0.000
Fe 0.000 0.250 0.302
Ti 0.500 0.250 0.749
Ti 0.500 0.750 0.251
H 0.000 0.500 0.000
Fe 0.000 0.750 0.698

Computed properties:
Space group: Pmma, No. 51
Calculated total energy (eV for the cell shown): -76.94
N(E_F) (states/eV/cell): 2.760


Record 6
A crystal of TlFe2H relaxed with PBEsol, computed with meta-GGA SCAN.

abc: 4.232 4.232 4.232
angles: 60.00 60.00 60.00
Site moments in Bohr magnetons follow the coordinates.
Positions (direct):
H 0.000 0.000 0.000  0.01
Fe 0.250 0.250 0.250  3.03
Tl 0.500 0.500 0.500  -0.14
Fe 0.750 0.750 0.750  3.03

Computed properties:
Space group: Fm-3m, No. 225
Calculated total energy (eV for the cell shown): -108.25
N(E_F) (states/eV/cell): 1.893


Record 7
A crystal of YFeH3 relaxed with PBEsol, computed with meta-GGA SCAN.

abc: 3.927 3.927 3.927
angles: 90.00 90.00 90.00
Site moments in Bohr magnetons follow the coordinates.
Positions (direct):
H 0.000 0.500 0.000  0.02
Y 0.000 0.000 0.000  -0.11
H 0.000 0.000 0.500  0.02
H 0.500 0.000 0.000  0.02
Fe 0.500 0.500 0.500  3.36

Computed properties:
Space group: Pm-3m, No. 221
Calculated total energy (eV for the cell shown): -54.59
N(E_F) (states/eV/cell): 4.987


Record 8
A crystal of ZnFe3H relaxed with PBEsol, computed with meta-GGA SCAN.

abc: 3.633 3.633 3.633
angles: 90.00 90.00 90.00
Site moments in Bohr magnetons follow the coordinates.
Positions (direct):
H 0.500 0.500 0.500  -0.03
Zn 0.000 0.000 0.000  -0.14
Fe 0.000 0.500 0.500  2.50
Fe 0.500 0.500 0.000  2.50
Fe 0.500 0.000 0.500  2.50

Computed properties:
Space group: Pm-3m, No. 221
Calculated total energy (eV for the cell shown): -71.87
N(E_F) (states/eV/cell): 1.565


Record 9
A crystal of Zr2FeH2 relaxed with PBEsol, computed with meta-GGA SCAN.

abc: 3.099 3.099 6.356
angles: 104.11 104.11 90.00
Site moments in Bohr magnetons follow the coordinates.
Positions (direct):
Zr 0.366 0.366 0.733  -0.24
Fe 0.000 0.000 0.000  1.12
Zr 0.634 0.634 0.267  -0.24
H 0.750 0.250 0.500  0.00
H 0.250 0.750 0.500  0.00

Computed properties:
Space group: I4/mmm, No. 139
Calculated total energy (eV for the cell shown): -88.53
N(E_F) (states/eV/cell): 1.880


Record 10
A crystal of Zr3FeH relaxed with PBEsol, computed with meta-GGA SCAN.

abc: 4.300 4.300 4.300
angles: 90.00 90.00 90.00
Site moments in Bohr magnetons follow the coordinates.
Positions (direct):
Zr 0.500 0.000 0.000  0.04
Zr 0.000 0.500 0.000  0.04
H 0.000 0.000 0.000  0.00
Zr 0.000 0.000 0.500  0.04
Fe 0.500 0.500 0.500  3.14

Computed properties:
Space group: Pm-3m, No. 221
E above lowest polymorph (meV per atom): 0
N(E_F) (states/eV/cell): 5.324


Record 11
A crystal of HfFe2 relaxed with PBEsol, computed with meta-GGA SCAN.

abc: 4.853 4.853 7.904
angles: 90.00 90.00 120.00
Site moments in Bohr magnetons follow the coordinates.
Positions (direct):
Hf 0.667 0.333 0.937  -0.67
Fe 0.664 0.832 0.750  2.15
Fe 0.000 0.000 0.000  2.25
Hf 0.667 0.333 0.563  -0.67
Fe 0.168 0.336 0.750  2.15
Fe 0.168 0.832 0.750  2.15
Fe 0.832 0.168 0.250  2.15
Fe 0.336 0.168 0.250  2.15
Hf 0.333 0.667 0.437  -0.67
Fe 0.000 0.000 0.500  2.25
Hf 0.333 0.667 0.063  -0.67
Fe 0.832 0.664 0.250  2.15

Computed properties:
ΔE_f (eV per atom): -0.2864
Space group: P6_3/mmc, No. 194
N(E_F) (states/eV/cell): 5.650


Record 12
A crystal of HfFe2 relaxed with PBEsol, computed with meta-GGA SCAN.

abc: 4.858 4.858 4.858
angles: 60.00 60.00 60.00
Site moments in Bohr magnetons follow the coordinates.
Positions (direct):
Hf 0.000 0.000 0.000  -0.63
Fe 0.625 0.625 0.125  2.17
Fe 0.625 0.125 0.625  2.17
Hf 0.250 0.250 0.250  -0.63
Fe 0.625 0.625 0.625  2.17
Fe 0.125 0.625 0.625  2.17

Computed properties:
ΔE_f (eV per atom): -0.3109
Space group: Fd-3m, No. 227
N(E_F) (states/eV/cell): 3.160


Record 13
A crystal of Hf2Fe relaxed with PBEsol, computed with meta-GGA SCAN.

abc: 8.355 8.355 8.355
angles: 60.00 60.00 60.00
Positions (direct):
Hf 0.811 0.189 0.189
Hf 0.189 0.811 0.811
Fe 0.840 0.840 0.840
Fe 0.480 0.840 0.840
Hf 0.061 0.439 0.439
Hf 0.189 0.811 0.189
Hf 0.189 0.189 0.811
Hf 0.439 0.061 0.439
Hf 0.125 0.625 0.625
Fe 0.840 0.480 0.840
Hf 0.061 0.061 0.439
Fe 0.840 0.840 0.480
Hf 0.625 0.625 0.625
Hf 0.811 0.189 0.811
Fe 0.410 0.410 0.410
Fe 0.410 0.410 0.770
Hf 0.061 0.439 0.061
Hf 0.625 0.125 0.625
Fe 0.410 0.770 0.410
Hf 0.811 0.811 0.189
Hf 0.439 0.061 0.061
Fe 0.770 0.410 0.410
Hf 0.625 0.625 0.125
Hf 0.439 0.439 0.061

Computed properties:
ΔE_f (eV per atom): -0.0876
Space group: Fd-3m, No. 227
N(E_F) (states/eV/cell): 19.569


Record 14
A crystal of Na2HfFeHg relaxed with PBEsol, computed with meta-GGA SCAN.

abc: 5.106 5.106 5.392
angles: 90.00 90.00 90.00
Site moments in Bohr magnetons follow the coordinates.
Positions (direct):
Fe 0.500 0.500 0.500  3.25
Na 0.500 0.000 0.000  0.00
Hf 0.000 0.000 0.500  -0.52
Hg 0.000 0.000 0.000  -0.03
Na 0.000 0.500 0.000  0.00

Computed properties:
ΔE_f (eV per atom): 1.0188
Space group: P4/mmm, No. 123
N(E_F) (states/eV/cell): 5.164


Record 15
A crystal of HfFe3I relaxed with PBEsol, computed with meta-GGA SCAN.

abc: 4.643 4.643 4.643
angles: 90.00 90.00 90.00
Site moments in Bohr magnetons follow the coordinates.
Positions (direct):
Fe 0.500 0.000 0.000  2.46
Hf 0.000 0.000 0.000  -0.92
Fe 0.000 0.500 0.000  2.46
Fe 0.000 0.000 0.500  2.46
I 0.500 0.500 0.500  0.07

Computed properties:
Space group: Pm-3m, No. 221
Calculated total energy (eV for the cell shown): -145.75
N(E_F) (states/eV/cell): 5.755


Record 16
A crystal of HfZr2InFe relaxed with PBEsol, computed with meta-GGA SCAN.

abc: 4.646 4.646 4.872
angles: 90.00 90.00 90.00
Positions (direct):
Hf 0.500 0.500 0.500
Fe 0.000 0.000 0.000
Zr 0.000 0.500 0.000
In 0.000 0.000 0.500
Zr 0.500 0.000 0.000

Computed properties:
ΔE_f (eV per atom): 0.3231
Space group: P4/mmm, No. 123
N(E_F) (states/eV/cell): 5.364


Record 17
A crystal of HfFeIr3 relaxed with PBEsol, computed with meta-GGA SCAN.

abc: 4.719 4.719 4.719
angles: 90.00 90.00 90.00
Site moments in Bohr magnetons follow the coordinates.
Positions (direct):
Fe 0.500 0.500 0.500  3.65
Hf 0.000 0.000 0.000  -0.06
Ir 0.500 0.000 0.000  0.42
Ir 0.000 0.000 0.500  0.42
Ir 0.000 0.500 0.000  0.42

Computed properties:
ΔE_f (eV per atom): 1.7565
Space group: Pm-3m, No. 221
N(E_F) (states/eV/cell): 5.728


Record 18
A crystal of YHf2FeIr relaxed with PBEsol, computed with meta-GGA SCAN.

abc: 4.751 4.962 4.962
angles: 90.00 90.00 90.00
Site moments in Bohr magnetons follow the coordinates.
Positions (direct):
Ir 0.500 0.000 0.000  -0.01
Y 0.000 0.000 0.000  -0.01
Hf 0.000 0.000 0.500  -0.13
Hf 0.000 0.500 0.000  -0.13
Fe 0.500 0.500 0.500  3.31

Computed properties:
ΔE_f (eV per atom): 1.8941
Space group: P4/mmm, No. 123
N(E_F) (states/eV/cell): 4.758


Record 19
A crystal of KHfFe2Pb relaxed with PBEsol, computed with meta-GGA SCAN.

abc: 4.806 4.806 5.641
angles: 90.00 90.00 90.00
Site moments in Bohr magnetons follow the coordinates.
Positions (direct):
Fe 0.000 0.500 0.000  2.89
Fe 0.500 0.000 0.000  2.89
K 0.500 0.500 0.500  0.00
Pb 0.000 0.000 0.500  -0.05
Hf 0.000 0.000 0.000  -0.61

Computed properties:
ΔE_f (eV per atom): 0.9559
Space group: P4/mmm, No. 123
N(E_F) (states/eV/cell): 3.995


Record 20
A crystal of LaHfFe3 relaxed with PBEsol, computed with meta-GGA SCAN.

abc: 4.392 4.392 4.392
angles: 90.00 90.00 90.00
Site moments in Bohr magnetons follow the coordinates.
Positions (direct):
Hf 0.500 0.500 0.500  -0.36
Fe 0.000 0.500 0.000  1.03
Fe 0.500 0.000 0.000  1.03
La 0.000 0.000 0.000  -0.28
Fe 0.000 0.000 0.500  1.03

Computed properties:
ΔE_f (eV per atom): 1.5561
Space group: Pm-3m, No. 221
N(E_F) (states/eV/cell): 2.692


Record 21
A crystal of LaHfFeO2 relaxed with PBEsol, computed with meta-GGA SCAN.

abc: 4.112 4.112 4.436
angles: 90.00 90.00 90.00
Site moments in Bohr magnetons follow the coordinates.
Positions (direct):
O 0.500 0.000 0.000  0.06
La 0.500 0.500 0.500  -0.11
Fe 0.000 0.000 0.000  2.23
Hf 0.000 0.000 0.500  -0.54
O 0.000 0.500 0.000  0.06

Computed properties:
Space group: P4/mmm, No. 123
E above lowest polymorph (meV per atom): 0
N(E_F) (states/eV/cell): 2.752


Record 22
A crystal of LaHfFeO2 relaxed with PBEsol, computed with meta-GGA SCAN.

abc: 4.280 4.280 5.235
angles: 90.00 90.00 90.00
Site moments in Bohr magnetons follow the coordinates.
Positions (direct):
Hf 0.500 0.500 0.500  -0.52
O 0.500 0.000 0.000  0.16
La 0.000 0.000 0.000  0.10
O 0.000 0.500 0.000  0.16
Fe 0.000 0.000 0.500  2.57

Computed properties:
Space group: P4/mmm, No. 123
E above lowest polymorph (meV per atom): 161
N(E_F) (states/eV/cell): 2.246


Record 23
A crystal of Hf2MnFeSi relaxed with PBEsol, computed with meta-GGA SCAN.

abc: 4.038 4.686 4.686
angles: 90.00 90.00 90.00
Site moments in Bohr magnetons follow the coordinates.
Positions (direct):
Fe 0.000 0.000 0.000  -0.19
Hf 0.000 0.500 0.000  -0.18
Si 0.500 0.500 0.500  -0.02
Hf 0.000 0.000 0.500  -0.18
Mn 0.500 0.000 0.000  2.41

Computed properties:
Space group: P4/mmm, No. 123
Calculated total energy (eV for the cell shown): -169.69
N(E_F) (states/eV/cell): 3.190


Record 24
A crystal of Hf3FeMo relaxed with PBEsol, computed with meta-GGA SCAN.

abc: 4.888 4.888 4.888
angles: 90.00 90.00 90.00
Site moments in Bohr magnetons follow the coordinates.
Positions (direct):
Hf 0.000 0.500 0.000  -0.17
Hf 0.000 0.000 0.500  -0.17
Fe 0.500 0.500 0.500  3.37
Mo 0.000 0.000 0.000  0.09
Hf 0.500 0.000 0.000  -0.17

Computed properties:
ΔE_f (eV per atom): 1.1154
Space group: Pm-3m, No. 221
N(E_F) (states/eV/cell): 7.173


Record 25
A crystal of HfFeMoO2 relaxed with PBEsol, computed with meta-GGA SCAN.

abc: 3.786 3.786 4.520
angles: 90.00 90.00 90.00
Site moments in Bohr magnetons follow the coordinates.
Positions (direct):
Mo 0.000 0.000 0.500  -1.14
Hf 0.500 0.500 0.500  0.04
O 0.500 0.000 0.000  0.02
O 0.000 0.500 0.000  0.02
Fe 0.000 0.000 0.000  2.51

Computed properties:
Space group: P4/mmm, No. 123
Calculated total energy (eV for the cell shown): -128.51
N(E_F) (states/eV/cell): 2.590